A:
# PBE MgSc3Os, optimized geometry
# total magnetization: 0.00 μB/f.u.
# D(E_F): 3.0 states/eV per cell
data_MgSc3Os
_chemical_formula_sum 'Mg1 Sc3 Os1'
_symmetry_space_group_name_H-M 'P m -3 m'
_symmetry_Int_Tables_number 221
_symmetry_space_group_name_Hall '-P 4 2 3'
_cell_length_a 5.068
_cell_length_b 5.068
_cell_length_c 5.068
_cell_angle_alpha 90.00
_cell_angle_beta 90.00
_cell_angle_gamma 90.00
loop_
_atom_site_label
_atom_site_type_symbol
_atom_site_fract_x
_atom_site_fract_y
_atom_site_fract_z
Mg1 Mg 0.000 0.000 0.000
Sc1 Sc 0.000 0.500 0.500
Os1 Os 0.500 0.500 0.500

---

B:
# PBE MgSc3Os, optimized geometry
# total magnetization: 0.00 μB/f.u.
# D(E_F): 8.1 states/eV per cell
data_MgSc3Os
_chemical_formula_sum 'Mg2 Sc6 Os2'
_symmetry_space_group_name_H-M 'P m a 2'
_symmetry_Int_Tables_number 28
_symmetry_space_group_name_Hall 'P 2 -2a'
_cell_length_a 9.042
_cell_length_b 7.529
_cell_length_c 3.185
_cell_angle_alpha 90.00
_cell_angle_beta 90.00
_cell_angle_gamma 90.00
loop_
_atom_site_label
_atom_site_type_symbol
_atom_site_fract_x
_atom_site_fract_y
_atom_site_fract_z
Mg1 Mg 0.250 0.083 0.000
Sc1 Sc 0.042 0.788 0.501
Sc2 Sc 0.250 0.454 0.502
Os1 Os 0.000 0.500 0.001

---

C:
# PBE MgSc3Os, optimized geometry
# total magnetization: 0.00 μB/f.u.
# D(E_F): 6.8 states/eV per cell
data_MgSc3Os
_chemical_formula_sum 'Mg1 Sc3 Os1'
_symmetry_space_group_name_H-M 'P m -3 m'
_symmetry_Int_Tables_number 221
_symmetry_space_group_name_Hall '-P 4 2 3'
_cell_length_a 4.928
_cell_length_b 4.928
_cell_length_c 4.928
_cell_angle_alpha 90.00
_cell_angle_beta 90.00
_cell_angle_gamma 90.00
loop_
_atom_site_label
_atom_site_type_symbol
_atom_site_fract_x
_atom_site_fract_y
_atom_site_fract_z
Mg1 Mg 0.000 0.000 0.000
Sc1 Sc 0.000 0.000 0.500
Os1 Os 0.500 0.500 0.500

---

Stability summary - winner: B; margin: 244 meV/atom.